Entry from the Alexandria database: Dy3YSc6 after structural relaxation (GGA-PBE).

Geometry as CIF:
```
data_Dy3YSc6
_space_group_name_H-M_alt 'P 1'
_space_group_IT_number 1
_cell_length_a 9.268
_cell_length_b 9.268
_cell_length_c 6.536
_cell_angle_alpha 44.84
_cell_angle_beta 44.84
_cell_angle_gamma 60.00
loop_
_space_group_symop_operation_xyz
'x,y,z'
loop_
_atom_site_label
_atom_site_fract_x
_atom_site_fract_y
_atom_site_fract_z
_atom_site_occupancy
Sc1 0.269 0.933 0.199 1
Sc2 0.766 0.098 0.708 1
Sc3 0.098 0.429 0.708 1
Sc4 0.599 0.269 0.199 1
Sc5 0.933 0.599 0.199 1
Sc6 0.429 0.766 0.708 1
Y1 0.852 0.852 0.445 1
Dy1 0.102 0.102 0.695 1
Dy2 0.352 0.352 0.944 1
Dy3 0.601 0.601 0.198 1
```

Summary:
Density of states at the Fermi level: 2.222 states/eV/atom
Relative energy among the computed polymorphs: 2.45 eV per formula unit
Spin magnetization: 0.00 μB per cell
Symmetry: R3
Formation energy: 0.41 eV/atom